# 1
DFT (GGA-PBE) results for crystalline LiPrTm2Se4 at its relaxed geometry.

Structure (POSCAR):
```
LiPrTm2Se4
1.0
-0.849 2.864 2.741
-5.573 2.044 -3.862
-2.076 -5.015 4.597
Li Se Tm Pr
1 4 2 1
direct
0.500 0.500 0.000 Li
0.500 0.734 0.738 Se
0.500 0.266 0.262 Se
0.000 0.256 0.743 Se
0.000 0.744 0.257 Se
0.500 0.000 0.500 Tm
0.000 0.500 0.500 Tm
0.000 0.000 0.000 Pr
```

Space group: P2/m (10)
Density, g/cm3: 6.89
Total magnetization, μB per atom: 0.00
Energy relative to the elements, uncorrected, eV per atom: -1.72


# 2
DFT (GGA-PBE) results for crystalline SmH3 at its relaxed geometry.

Structure (POSCAR):
```
SmH3
1.0
-3.314 -5.431 -1.395
0.968 1.721 6.207
-5.759 3.535 -0.082
Sm H
6 18
direct
0.664 0.664 0.250 Sm
0.336 0.000 0.250 Sm
0.336 0.336 0.750 Sm
0.000 0.336 0.250 Sm
0.000 0.664 0.750 Sm
0.664 0.000 0.750 Sm
0.678 0.651 0.594 H
0.678 0.027 0.094 H
0.667 0.333 0.320 H
0.667 0.333 0.820 H
0.322 0.349 0.406 H
0.027 0.678 0.406 H
0.973 0.651 0.094 H
0.322 0.973 0.906 H
0.000 0.000 0.250 H
0.333 0.667 0.180 H
0.651 0.678 0.906 H
0.349 0.027 0.594 H
0.000 0.000 0.750 H
0.027 0.349 0.906 H
0.349 0.322 0.094 H
0.651 0.973 0.406 H
0.333 0.667 0.680 H
0.973 0.322 0.594 H
```

Space group: P-3c1 (165)
Total DFT energy (no corrections), eV/cell: -102.908
Density, g/cm3: 6.16
Total magnetization, μB per atom: 0.00


# 3
DFT (GGA-PBE) results for crystalline NdGdAu at its relaxed geometry.

Structure (POSCAR):
```
NdGdAu
1.0
-0.814 -1.388 3.322
2.886 -2.288 -0.249
2.581 6.109 1.134
Gd Nd Au
1 1 1
direct
0.308 0.308 0.616 Gd
0.598 0.598 0.196 Nd
0.944 0.944 0.888 Au
```

Space group: I4mm (107)
Density, g/cm3: 9.80
Energy of formation, eV per atom: -0.515
Total magnetization, μB per atom: 2.69


# 4
DFT (GGA-PBE) results for crystalline PrTm2Al6 at its relaxed geometry.

Structure (POSCAR):
```
PrTm2Al6
1.0
-1.210 2.420 -3.470
-4.212 -4.794 -4.665
-7.889 -0.388 -0.309
Tm Al Pr
2 6 1
direct
0.623 0.877 0.877 Tm
0.377 0.123 0.123 Tm
0.187 0.510 0.116 Al
0.000 0.181 0.819 Al
0.000 0.819 0.181 Al
0.187 0.116 0.510 Al
0.813 0.490 0.884 Al
0.813 0.884 0.490 Al
0.500 0.500 0.500 Pr
```

Space group: Immm (71)
Density, g/cm3: 5.02
Energy of formation, eV per atom: -0.265
Total magnetization, μB per atom: 0.00


What is the formula in the second record? SmH3